TaWBr2 (PBE, relaxed); electronic total energy = -5.849 eV/atom; energy relative to the elements, uncorrected = 1.189 eV/atom; space group = I-4m2 (119)
1.0
-2.174 2.174 4.024
2.174 -2.174 4.024
2.174 2.174 -4.024
Ta W Br
1 1 2
direct
0.000 0.000 0.000
0.250 0.750 0.500
0.500 0.500 0.000
0.750 0.250 0.500